The following is a meta-GGA SCAN calculation of a crystal of Ba2SrLi relaxed with PBEsol, from Alexandria.

Cell: 4.7689 6.3259 6.3771 Å, 90.00 90.00 90.00°
Sites, in units of the cell vectors:
1 Sr 0.0000 0.5000 0.5000
2 Ba 0.0000 0.0000 0.0000
3 Ba 0.5000 0.0000 0.5000
4 Li 0.5000 0.5000 0.0000

E_tot: -25.8536 eV per atom
DOS(E_F): 1.013 states/eV per atom
calculated volume: 192.38 Å³ per cell
formation enthalpy at 0 K: 0.4 eV/f.u.

---

The following is a meta-GGA SCAN calculation of a crystal of Ba2SrLi relaxed with PBEsol, from Alexandria.

Cell: 4.4522 6.5519 7.5832 Å, 115.59 107.07 90.00°
Sites, in units of the cell vectors:
1 Sr 0.0000 0.5000 0.0000
2 Ba 0.7818 0.7818 0.5637
3 Ba 0.2182 0.2182 0.4363
4 Li 0.5000 0.0000 0.0000

E_tot: -25.8767 eV per atom
DOS(E_F): 1.148 states/eV per atom
calculated volume: 188.64 Å³ per cell
formation enthalpy at 0 K: 0.3 eV/f.u.